Compound: SrHf3Ta
Source: Alexandria via LeMat-Bulk
Functional: PBE-GGA
Structure: optimized geometry

## Properties
Its space group is No. 221. Its total energy is -6.39 eV/atom.

extended XYZ file:
```
5
Lattice="-0.422 4.965 -0.006 -4.496 -0.380 2.115 2.107 0.185 4.512" Properties=species:S:1:pos:R:3 pbc="T T T"
Hf -0.211 2.483 -0.003
Ta -1.406 2.385 3.311
Hf 1.054 0.092 2.256
Sr 0.000 0.000 0.000
Hf -2.248 -0.190 1.058
```